Entry from Alexandria via LeMat-Bulk: a geometry-optimized SmPa2CuN5 structure (PBE).

a = 3.537 Å, b = 13.219 Å, c = 10.837 Å
α = 90.00°, β = 90.00°, γ = 90.00°
Space group Cmc2_1 (No. 36)
Unique sites:
Sm (0.000, 0.147, 0.000) x4
Pa (0.000, 0.093, 0.306) x4
Pa (0.000, 0.179, 0.700) x4
Cu (0.000, 0.464, 0.057) x4
N (0.000, 0.006, 0.633) x4
N (0.000, 0.271, 0.336) x4
N (0.000, 0.314, 0.076) x4
N (0.000, 0.344, 0.679) x4
N (0.000, 0.497, 0.379) x4

Summary:
total magnetization	0.01	μB per atom
raw formation energy	-1.034	eV/atom